No. 1
Density functional theory data (PBE-GGA) for a geometry-optimized Cs2CdAsI structure.

Results
- Symmetry: P4/mmm

Cell: 7.211 7.211 5.032 Å, 90.00 90.00 90.00°
Fractional positions:
Cs (0.000, 0.500, 0.000)
Cs (0.500, 0.000, 0.000)
Cd (0.000, 0.000, 0.500)
As (0.000, 0.000, 0.000)
I (0.500, 0.500, 0.500)

No. 2
Density functional theory data (PBE-GGA) for a geometry-optimized Cs2CdAsI6 structure.

Results
- Symmetry: I4/mmm

Cell: 8.492 8.492 8.492 Å, 119.87 119.87 90.23°
Fractional positions:
Cs (0.250, 0.750, 0.500)
Cs (0.750, 0.250, 0.500)
Cd (0.000, 0.000, 0.000)
As (0.500, 0.500, 0.000)
I (0.255, 0.255, 0.000)
I (0.257, 0.257, 0.513)
I (0.257, 0.743, 0.000)
I (0.743, 0.257, 0.000)
I (0.743, 0.743, 0.487)
I (0.745, 0.745, 0.000)

The records above give, respectively, Fermi-level density of states values of 0.43; 0.29 states/eV per atom.
The records above give, respectively, raw total energy values of -0.088; -0.090 hartree per atom.